LaMgSe2: optimized geometry, PBEsol.

**Theoretical density**: 5.7 g cm⁻³
**Electronic total energy**: -4.35 eV per atom
**Formation energy from raw total energies**: -0.663 eV per atom

Lattice parameters (Å, degrees): 7.216 7.216 7.216 90.00 90.00 90.00
Space group F-43m (No. 216)
Inequivalent atoms, fractional coordinates:
1 La 0.000 0.000 0.000 [4 per cell]
2 Mg 0.250 0.250 0.250 [4 per cell]
3 Se 0.000 0.000 0.500 [4 per cell]
4 Se 0.250 0.250 0.750 [4 per cell]